1) # NdCdH (PBE, relaxed)
# - total magnetic moment (μB per formula unit) = 0.000
# - ρ (Mg/m³) = 6.30
data_NdCdH
_chemical_formula_sum 'Nd4 Cd4 H4'
_space_group_name_H-M_alt 'C 1 2/m 1'
_space_group_IT_number 12
_space_group_name_Hall '-C 2y'
_cell_length_a 12.319
_cell_length_b 3.683
_cell_length_c 6.477
_cell_angle_alpha 90.00
_cell_angle_beta 112.42
_cell_angle_gamma 90.00
loop_
_atom_site_label
_atom_site_type_symbol
_atom_site_fract_x
_atom_site_fract_y
_atom_site_fract_z
Nd1 Nd 0.159 0.000 0.246
Cd1 Cd 0.104 0.000 0.718
H1 H 0.172 0.500 0.451

2) # NdCdH (PBE, relaxed)
# - total magnetic moment (μB per formula unit) = 0.000
# - ρ (Mg/m³) = 6.73
data_NdCdH
_chemical_formula_sum 'Nd2 Cd2 H2'
_space_group_name_H-M_alt 'I 4 m m'
_space_group_IT_number 107
_space_group_name_Hall 'I 4 -2'
_cell_length_a 3.280
_cell_length_b 3.280
_cell_length_c 11.817
_cell_angle_alpha 90.00
_cell_angle_beta 90.00
_cell_angle_gamma 90.00
loop_
_atom_site_label
_atom_site_type_symbol
_atom_site_fract_x
_atom_site_fract_y
_atom_site_fract_z
Nd1 Nd 0.000 0.000 0.000
Cd1 Cd 0.000 0.000 0.284
H1 H 0.000 0.000 0.544

3) # NdCdH (PBE, relaxed)
# - total magnetic moment (μB per formula unit) = 0.280
# - ρ (Mg/m³) = 6.44
data_NdCdH
_chemical_formula_sum 'Nd1 Cd1 H1'
_space_group_name_H-M_alt 'P 3 m 1'
_space_group_IT_number 156
_space_group_name_Hall 'P 3 -2"'
_cell_length_a 3.8911
_cell_length_b 3.8911
_cell_length_c 5.0666
_cell_angle_alpha 90.00
_cell_angle_beta 90.00
_cell_angle_gamma 120.00
loop_
_atom_site_label
_atom_site_type_symbol
_atom_site_fract_x
_atom_site_fract_y
_atom_site_fract_z
Nd1 Nd 0.0000 0.0000 0.0000
Cd1 Cd 0.3333 0.6667 0.4998
H1 H 0.6667 0.3333 0.0023

Most stable of them? 3).

1) # Cd2NiH (PBE, relaxed)
# - total magnetic moment (μB per formula unit) = 0.040
# - ρ (Mg/m³) = 7.79
data_Cd2NiH
_chemical_formula_sum 'Cd8 Ni4 H4'
_space_group_name_H-M_alt 'F m -3 m'
_space_group_IT_number 225
_space_group_name_Hall '-F 4 2 3'
_cell_length_a 6.238
_cell_length_b 6.238
_cell_length_c 6.238
_cell_angle_alpha 90.00
_cell_angle_beta 90.00
_cell_angle_gamma 90.00
loop_
_atom_site_label
_atom_site_type_symbol
_atom_site_fract_x
_atom_site_fract_y
_atom_site_fract_z
Cd1 Cd 0.250 0.250 0.250
Ni1 Ni 0.000 0.000 0.000
H1 H 0.000 0.000 0.500

2) # Cd2NiH (PBE, relaxed)
# - total magnetic moment (μB per formula unit) = 0.000
# - ρ (Mg/m³) = 7.98
data_Cd2NiH
_chemical_formula_sum 'Cd8 Ni4 H4'
_space_group_name_H-M_alt 'C 1 2/c 1'
_space_group_IT_number 15
_space_group_name_Hall '-C 2yc'
_cell_length_a 8.925
_cell_length_b 3.289
_cell_length_c 8.930
_cell_angle_alpha 90.00
_cell_angle_beta 115.39
_cell_angle_gamma 90.00
loop_
_atom_site_label
_atom_site_type_symbol
_atom_site_fract_x
_atom_site_fract_y
_atom_site_fract_z
Cd1 Cd 0.153 0.250 0.097
Ni1 Ni 0.000 0.249 0.750
H1 H 0.000 0.251 0.250

Most stable of them? 2).

1) # CdNi2H (PBE, relaxed)
# - total magnetic moment (μB per formula unit) = 0.000
# - ρ (Mg/m³) = 8.78
data_CdNi2H
_chemical_formula_sum 'Cd3 Ni6 H3'
_space_group_name_H-M_alt 'R -3 m'
_space_group_IT_number 166
_space_group_name_Hall '-R 3 2"'
_cell_length_a 2.8023
_cell_length_b 2.8023
_cell_length_c 19.2476
_cell_angle_alpha 90.00
_cell_angle_beta 90.00
_cell_angle_gamma 120.00
loop_
_atom_site_label
_atom_site_type_symbol
_atom_site_fract_x
_atom_site_fract_y
_atom_site_fract_z
Cd1 Cd 0.0000 0.0000 0.0000
Ni1 Ni 0.0000 0.0000 0.2176
H1 H 0.0000 0.0000 0.5000

2) # CdNi2H (PBE, relaxed)
# - total magnetic moment (μB per formula unit) = 0.000
# - ρ (Mg/m³) = 8.49
data_CdNi2H
_chemical_formula_sum 'Cd1 Ni2 H1'
_space_group_name_H-M_alt 'P 4/m m m'
_space_group_IT_number 123
_space_group_name_Hall '-P 4 2'
_cell_length_a 2.651
_cell_length_b 2.651
_cell_length_c 6.422
_cell_angle_alpha 90.00
_cell_angle_beta 90.00
_cell_angle_gamma 90.00
loop_
_atom_site_label
_atom_site_type_symbol
_atom_site_fract_x
_atom_site_fract_y
_atom_site_fract_z
Cd1 Cd 0.000 0.000 0.000
Ni1 Ni 0.500 0.500 0.321
H1 H 0.000 0.000 0.500

3) # CdNi2H (PBE, relaxed)
# - total magnetic moment (μB per formula unit) = 0.000
# - ρ (Mg/m³) = 8.16
data_CdNi2H
_chemical_formula_sum 'Cd4 Ni8 H4'
_space_group_name_H-M_alt 'I -4 2 d'
_space_group_IT_number 122
_space_group_name_Hall 'I -4 2bw'
_cell_length_a 5.111
_cell_length_b 5.111
_cell_length_c 7.194
_cell_angle_alpha 90.00
_cell_angle_beta 90.00
_cell_angle_gamma 90.00
loop_
_atom_site_label
_atom_site_type_symbol
_atom_site_fract_x
_atom_site_fract_y
_atom_site_fract_z
Cd1 Cd 0.000 0.000 0.000
Ni1 Ni 0.001 0.250 0.625
H1 H 0.000 0.000 0.500

Most stable of them? 3).

1) # CdNiHPb2 (PBE, relaxed)
# - total magnetic moment (μB per formula unit) = 0.000
# - ρ (Mg/m³) = 6.30
data_CdNiHPb2
_chemical_formula_sum 'Cd1 Ni1 H1 Pb2'
_space_group_name_H-M_alt 'P 4/m m m'
_space_group_IT_number 123
_space_group_name_Hall '-P 4 2'
_cell_length_a 5.674
_cell_length_b 5.674
_cell_length_c 4.799
_cell_angle_alpha 90.00
_cell_angle_beta 90.00
_cell_angle_gamma 90.00
loop_
_atom_site_label
_atom_site_type_symbol
_atom_site_fract_x
_atom_site_fract_y
_atom_site_fract_z
Cd1 Cd 0.000 0.000 0.000
Ni1 Ni 0.000 0.000 0.500
H1 H 0.500 0.500 0.500
Pb1 Pb 0.000 0.500 0.000

2) # CdNiHPb2 (PBE, relaxed)
# - total magnetic moment (μB per formula unit) = 0.000
# - ρ (Mg/m³) = 9.56
data_CdNiHPb2
_chemical_formula_sum 'Cd1 Ni1 H1 Pb2'
_space_group_name_H-M_alt 'P 4/m m m'
_space_group_IT_number 123
_space_group_name_Hall '-P 4 2'
_cell_length_a 5.591
_cell_length_b 5.591
_cell_length_c 3.259
_cell_angle_alpha 90.00
_cell_angle_beta 90.00
_cell_angle_gamma 90.00
loop_
_atom_site_label
_atom_site_type_symbol
_atom_site_fract_x
_atom_site_fract_y
_atom_site_fract_z
Cd1 Cd 0.000 0.000 0.000
Ni1 Ni 0.500 0.500 0.500
H1 H 0.500 0.500 0.000
Pb1 Pb 0.000 0.500 0.500

Most stable of them? 2).